Density functional theory data (GGA-PBE) for a relaxed BaAlSb2 crystal.

CIF file:
```
data_BaAlSb2
_chemical_formula_sum 'Ba16 Al16 Sb32'
_cell_length_a 12.0459
_cell_length_b 13.1135
_cell_length_c 15.5658
_cell_angle_alpha 90.00
_cell_angle_beta 110.62
_cell_angle_gamma 90.00
_space_group_name_H-M_alt 'C 1 2/c 1'
_space_group_IT_number 15
_space_group_name_Hall '-C 2yc'
loop_
_atom_site_label
_atom_site_type_symbol
_atom_site_fract_x
_atom_site_fract_y
_atom_site_fract_z
Ba1 Ba 0.0639 0.2044 0.3922
Ba2 Ba 0.1940 0.4663 0.1248
Al1 Al 0.0972 0.1432 0.6612
Al2 Al 0.1342 0.3978 0.8409
Sb1 Sb 0.0000 0.0172 0.7500
Sb2 Sb 0.0000 0.4269 0.2500
Sb3 Sb 0.0142 0.3084 0.9358
Sb4 Sb 0.2491 0.0675 0.5798
Sb5 Sb 0.2488 0.2113 0.2424
```

Values from the calculation:
Its total magnetization is 0.00 Bohr magnetons per cell. The uncorrected formation energy comes out at -11.4 kcal/mol of atoms. The density of states at the Fermi level comes out at 16.092 states/eV/cell. The value obtained for the total energy is -254.16 eV for the cell shown.

Density functional theory data (GGA-PBE) for a relaxed BaAlSb3 crystal.

CIF file:
```
data_BaAlSb3
_chemical_formula_sum 'Ba1 Al1 Sb3'
_cell_length_a 5.4497
_cell_length_b 5.4497
_cell_length_c 5.4497
_cell_angle_alpha 90.00
_cell_angle_beta 90.00
_cell_angle_gamma 90.00
_space_group_name_H-M_alt 'P m -3 m'
_space_group_IT_number 221
_space_group_name_Hall '-P 4 2 3'
loop_
_atom_site_label
_atom_site_type_symbol
_atom_site_fract_x
_atom_site_fract_y
_atom_site_fract_z
Ba1 Ba 0.0000 0.0000 0.0000
Al1 Al 0.5000 0.5000 0.5000
Sb1 Sb 0.0000 0.5000 0.5000
```

Values from the calculation:
Its total magnetization is 0.00 Bohr magnetons per cell. The uncorrected formation energy comes out at -3.9 kcal/mol of atoms. The density of states at the Fermi level comes out at 4.907 states/eV/cell. The value obtained for the total energy is -18.87 eV for the cell shown. The value obtained for the energy above the most stable polymorph in this dataset is 0 meV/atom.

Density functional theory data (GGA-PBE) for a relaxed BaAlSb2 crystal.

CIF file:
```
data_BaAlSb2
_chemical_formula_sum 'Ba2 Al2 Sb4'
_cell_length_a 10.5899
_cell_length_b 4.1797
_cell_length_c 6.0314
_cell_angle_alpha 90.00
_cell_angle_beta 107.19
_cell_angle_gamma 90.00
_space_group_name_H-M_alt 'C 1 m 1'
_space_group_IT_number 8
_space_group_name_Hall 'C -2y'
loop_
_atom_site_label
_atom_site_type_symbol
_atom_site_fract_x
_atom_site_fract_y
_atom_site_fract_z
Ba1 Ba 0.0000 0.0000 0.0000
Al1 Al 0.2371 0.0000 0.6662
Sb1 Sb 0.0190 0.5000 0.5180
Sb2 Sb 0.2731 0.5000 0.3613
```

Values from the calculation:
Its total magnetization is 0.00 Bohr magnetons per cell. The uncorrected formation energy comes out at -8.3 kcal/mol of atoms. The density of states at the Fermi level comes out at 3.747 states/eV/cell. The value obtained for the total energy is -30.69 eV for the cell shown.

Density functional theory data (GGA-PBE) for a relaxed Ba3AlSb crystal.

CIF file:
```
data_Ba3AlSb
_chemical_formula_sum 'Ba3 Al1 Sb1'
_cell_length_a 6.6168
_cell_length_b 6.6168
_cell_length_c 6.6168
_cell_angle_alpha 90.00
_cell_angle_beta 90.00
_cell_angle_gamma 90.00
_space_group_name_H-M_alt 'P m -3 m'
_space_group_IT_number 221
_space_group_name_Hall '-P 4 2 3'
loop_
_atom_site_label
_atom_site_type_symbol
_atom_site_fract_x
_atom_site_fract_y
_atom_site_fract_z
Ba1 Ba 0.0000 0.0000 0.5000
Al1 Al 0.5000 0.5000 0.5000
Sb1 Sb 0.0000 0.0000 0.0000
```

Values from the calculation:
Its total magnetization is 1.95 Bohr magnetons per cell. The uncorrected formation energy comes out at -3.1 kcal/mol of atoms. The density of states at the Fermi level comes out at 3.206 states/eV/cell. The value obtained for the total energy is -14.30 eV for the cell shown. The value obtained for the energy above the most stable polymorph in this dataset is 0 meV/atom.

Which value of total energy does entry 1 give? -254.16 eV for the cell shown

Which value of total energy does entry 2 give? -18.87 eV for the cell shown

Which value of total energy does entry 3 give? -30.69 eV for the cell shown

Among the records above, which one has the highest density of states at the Fermi level? number 1